# 1
Material: Zn6Ni5Ag
Method: DFT, PBE-GGA
State: relaxed

Cell: 6.107 6.107 6.842 Å, 90.00 90.00 143.06°
Atoms (fractional coordinates):
Zn1 0.000 0.000 0.234
Zn2 0.000 0.000 0.766
Zn3 0.329 0.671 0.241
Zn4 0.329 0.671 0.759
Zn5 0.671 0.329 0.241
Zn6 0.671 0.329 0.759
Ni1 0.166 0.834 0.000
Ni2 0.172 0.828 0.500
Ni3 0.500 0.500 0.000
Ni4 0.828 0.172 0.500
Ni5 0.834 0.166 0.000
Ag1 0.500 0.500 0.500

Results
Its space-group type is Cmmm, No. 65. The crystal system is orthorhombic.

=====

# 2
Material: ZnNi2Ag
Method: DFT, PBE-GGA
State: relaxed

Cell: 3.795 3.795 3.682 Å, 90.00 90.00 90.00°
Atoms (fractional coordinates):
Zn1 0.000 0.000 0.000
Ni1 0.000 0.500 0.500
Ni2 0.500 0.000 0.500
Ag1 0.500 0.500 0.000

Results
Its space-group type is P4/mmm, No. 123. The crystal system is tetragonal.

=====

# 3
Material: ZnNi2Ag2
Method: DFT, PBE-GGA
State: relaxed

Cell: 6.111 6.111 4.035 Å, 90.00 90.00 90.00°
Atoms (fractional coordinates):
Zn1 0.000 0.000 0.000
Zn2 0.500 0.500 0.000
Ni1 0.132 0.368 0.000
Ni2 0.368 0.868 0.000
Ni3 0.632 0.132 0.000
Ni4 0.868 0.632 0.000
Ag1 0.170 0.670 0.500
Ag2 0.330 0.170 0.500
Ag3 0.670 0.830 0.500
Ag4 0.830 0.330 0.500

Results
Its space-group type is P4/mbm, No. 127. The crystal system is tetragonal.

=====

# 4
Material: ZnNi3Ag
Method: DFT, PBE-GGA
State: relaxed

Cell: 4.341 4.341 4.341 Å, 90.00 90.00 90.00°
Atoms (fractional coordinates):
Zn1 0.000 0.000 0.000
Ni1 0.000 0.000 0.500
Ni2 0.000 0.500 0.000
Ni3 0.500 0.000 0.000
Ag1 0.500 0.500 0.500

Results
Its space-group type is Pm-3m, No. 221. The crystal system is cubic. Its polymorph energy (0 for the lowest one) is 0.000 eV per atom.

=====

no.,energy relative to the elements (eV per atom),V (Å³/atom),density of states at the Fermi level (states/eV/cell)
1,-0.184,12.78,3.3
2,0.045,13.26,5.3
3,0.157,15.07,10.1
4,0.881,16.36,6.2